Here is crystalline Ba2ScBi2 at its relaxed geometry from the Alexandria database. Energies are from GGA-PBE.

abc: 8.5870 8.5870 5.1497
angles: 90.00 90.00 90.00
Each line ends with the local moment (μB).
Fractional coordinates of all 10 atoms:
Sc 0.0000 0.0000 0.0000  0.32
Sc 0.5000 0.5000 0.0000  0.32
Bi 0.3351 0.8351 0.0000  0.00
Bi 0.8351 0.6649 0.0000  -0.01
Bi 0.6649 0.1649 0.0000  0.00
Bi 0.1649 0.3351 0.0000  -0.01
Ba 0.1479 0.6479 0.5000  0.04
Ba 0.6479 0.8521 0.5000  0.04
Ba 0.8521 0.3521 0.5000  0.04
Ba 0.3521 0.1479 0.5000  0.04

Excess energy over the best structure of this formula in the dataset (meV per atom): 144
E_form (kJ per mole of atoms): -62.29
Space group: P4/mbm
Magnetization (μB/f.u.): 1.0
E (eV/atom): -4.23
Density (g/cm³): 6.5